# 1
Computed, not measured: CeSeCl after structural relaxation at the GGA-PBE level of DFT.

a = 5.907 Å, b = 5.907 Å, c = 11.010 Å
α = 90.00°, β = 90.00°, γ = 90.00°
Last column: magnetic moment on the atom in μB.
Sites, in units of the cell vectors:
Ce  0.750  0.284  0.000  0.89
Ce  0.250  0.784  0.000  0.89
Ce  0.750  0.281  0.500  0.89
Ce  0.250  0.781  0.500  0.89
Cl  0.750  0.282  0.250  -0.01
Cl  0.750  0.282  0.750  -0.01
Cl  0.250  0.782  0.750  -0.01
Cl  0.250  0.782  0.250  -0.01
Se  0.250  0.284  0.000  -0.03
Se  0.750  0.784  0.000  -0.03
Se  0.750  0.781  0.500  -0.03
Se  0.250  0.281  0.500  -0.03

Computed properties:
Crystal system: orthorhombic
Electronic total energy in eV/atom: -5.647
Symmetry: Cmcm

# 2
Computed, not measured: Ce2Se2Cl after structural relaxation at the GGA-PBE level of DFT.

a = 4.051 Å, b = 7.572 Å, c = 8.971 Å
α = 90.00°, β = 103.05°, γ = 90.00°
Last column: magnetic moment on the atom in μB.
Sites, in units of the cell vectors:
Ce  0.444  0.467  0.887  1.08
Ce  0.807  0.866  0.615  1.21
Ce  0.193  0.366  0.385  1.21
Ce  0.556  0.967  0.113  1.08
Se  0.971  0.752  0.941  -0.03
Se  0.811  0.463  0.623  -0.03
Se  0.189  0.963  0.377  -0.03
Se  0.029  0.252  0.059  -0.03
Cl  0.382  0.085  0.763  -0.01
Cl  0.618  0.585  0.237  -0.01

Computed properties:
Crystal system: orthorhombic
Electronic total energy in eV/atom: -5.971
Symmetry: Cmc2_1

# 3
Computed, not measured: CeSeCl after structural relaxation at the GGA-PBE level of DFT.

a = 5.581 Å, b = 5.719 Å, c = 7.931 Å
α = 111.13°, β = 110.60°, γ = 90.00°
Last column: magnetic moment on the atom in μB.
Sites, in units of the cell vectors:
Ce  0.884  0.634  0.768  0.97
Ce  0.116  0.366  0.232  0.97
Se  0.907  0.157  0.815  -0.03
Se  0.093  0.843  0.185  -0.03
Cl  0.332  0.582  0.664  -0.01
Cl  0.668  0.418  0.336  -0.01

Computed properties:
Crystal system: orthorhombic
Electronic total energy in eV/atom: -5.629
Symmetry: Imma